No. 1
Here is a relaxed structure of Rb2TlRuF6 from Alexandria. Energies are from GGA-PBEsol.

VASP energy ... -4.7471 eV/atom
M_tot ... 1.00 μB/cell
Formation energy from raw total energies ... -2.11 eV/atom

```
10
Lattice="0.0000 4.5468 4.5468 4.5468 0.0000 4.5468 4.5468 4.5468 0.0000" Properties=species:S:1:pos:R:3 pbc="T T T"
Rb 2.2734 2.2734 2.2734
Rb 6.8202 6.8202 6.8202
Tl 0.0000 0.0000 0.0000
Ru 4.5468 4.5468 4.5468
F 4.5468 4.5468 2.5535
F 4.5468 2.5535 4.5468
F 6.5400 4.5468 4.5468
F 2.5535 4.5468 4.5468
F 4.5468 6.5400 4.5468
F 4.5468 4.5468 6.5400
```


No. 2
Here is a relaxed structure of Rb3SF from Alexandria. Energies are from GGA-PBEsol.

VASP energy ... -3.4938 eV/atom
M_tot ... 0.00 μB/cell
Formation energy from raw total energies ... -1.62 eV/atom

```
5
Lattice="5.2635 0.0000 0.0000 0.0000 5.2635 0.0000 0.0000 0.0000 5.2635" Properties=species:S:1:pos:R:3 pbc="T T T"
Rb 0.0000 0.0000 2.6317
Rb 0.0000 2.6317 0.0000
Rb 2.6317 0.0000 0.0000
S 2.6317 2.6317 2.6317
F 0.0000 0.0000 0.0000
```


- VASP energy of number 1 (Rb2TlRuF6)?
  -4.7471 eV/atom


- Which of these has the highest VASP energy?
  Rb3SF


- The lowest formation energy from raw total energies belongs to which entry?
  Rb2TlRuF6


Repeat the second record exactly.
Here is a relaxed structure of Rb3SF from Alexandria. Energies are from GGA-PBEsol.

VASP energy ... -3.4938 eV/atom
M_tot ... 0.00 μB/cell
Formation energy from raw total energies ... -1.62 eV/atom

```
5
Lattice="5.2635 0.0000 0.0000 0.0000 5.2635 0.0000 0.0000 0.0000 5.2635" Properties=species:S:1:pos:R:3 pbc="T T T"
Rb 0.0000 0.0000 2.6317
Rb 0.0000 2.6317 0.0000
Rb 2.6317 0.0000 0.0000
S 2.6317 2.6317 2.6317
F 0.0000 0.0000 0.0000
```